DFT (GGA+U) results for a relaxed structure of V4CoH12C2N6O20.

```
data_V4CoH12C2N6O20
_chemical_formula_sum 'V4 Co1 H12 C2 N6 O20'
_space_group_name_H-M_alt 'P -1'
_space_group_IT_number 2
_space_group_name_Hall '-P 1'
_cell_length_a 3.766
_cell_length_b 8.533
_cell_length_c 18.974
_cell_angle_alpha 95.83
_cell_angle_beta 91.45
_cell_angle_gamma 102.69
loop_
_atom_site_label
_atom_site_type_symbol
_atom_site_fract_x
_atom_site_fract_y
_atom_site_fract_z
V1 V 0.187 0.386 0.452
V2 V 0.281 0.579 0.946
Co1 Co 0.000 0.000 0.500
H1 H 0.018 0.047 0.727
H2 H 0.098 0.951 0.152
H3 H 0.114 0.134 0.328
H4 H 0.392 0.116 0.119
H5 H 0.428 0.636 0.803
H6 H 0.438 0.361 0.285
C1 C 0.281 0.145 0.226
N1 N 0.114 0.072 0.279
N2 N 0.273 0.060 0.162
N3 N 0.462 0.298 0.237
O1 O 0.083 0.175 0.448
O2 O 0.201 0.427 0.370
O3 O 0.231 0.455 0.032
O4 O 0.238 0.499 0.861
O5 O 0.293 0.582 0.521
O6 O 0.343 0.256 0.712
O7 O 0.390 0.779 0.947
O8 O 0.421 0.710 0.234
O9 O 0.475 0.229 0.823
O10 O 0.481 0.051 0.531
```

Calculated values
final energy: -6.098 eV/atom
spin magnetization: 3.1 μB/cell
density of states at the Fermi level: 9.20 states/eV/f.u.